1.
Here is LiTlCoTc after structural relaxation from OQMD via LeMat-Bulk. Energies are from PBE.

Summary:
Its symmetry is F-43m.

abc: 4.3288 4.3288 4.3288
angles: 60.00 60.00 60.00
With the nearest neighbours (Å) after each atom.
Positions (direct):
Co (0.7500, 0.7500, 0.7500)  4 Tl 2.65, 4 Tc 2.65
Li (0.2500, 0.2500, 0.2500)  4 Tl 2.65, 4 Tc 2.65
Tc (0.5000, 0.5000, 0.5000)  4 Co 2.65, 4 Li 2.65
Tl (0.0000, 0.0000, 0.0000)  4 Li 2.65, 4 Co 2.65

2.
Here is TbInNi after structural relaxation from OQMD via LeMat-Bulk. Energies are from PBE.

Summary:
Its symmetry is P-62m.

abc: 6.9100 6.9100 4.5630
angles: 90.00 90.00 120.00
With the nearest neighbours (Å) after each atom.
Positions (direct):
In (0.6667, 0.3333, 0.0000)  3 Ni 2.77, 6 Tb 3.05
In (0.3333, 0.6667, 0.0000)  3 Ni 2.77, 6 Tb 3.05
In (0.0000, 0.0000, 0.5000)  6 Ni 2.75
Ni (0.2218, 0.0000, 0.0000)  2 Ni 2.65, 4 In 2.75-2.77
Ni (0.0000, 0.2218, 0.0000)  2 Ni 2.65, 4 In 2.75-2.77
Ni (0.7782, 0.7782, 0.0000)  2 Ni 2.65, 4 In 2.75-2.77
Tb (0.5520, 0.0000, 0.5000)  5 In 3.05-3.10, 2 Ni 3.23
Tb (0.4480, 0.4480, 0.5000)  5 In 3.05-3.10, 2 Ni 3.23
Tb (0.0000, 0.5520, 0.5000)  5 In 3.05-3.10, 2 Ni 3.23

3.
Here is Li2AgHg after structural relaxation from OQMD via LeMat-Bulk. Energies are from PBE.

Summary:
Its symmetry is P4/mmm.

abc: 4.4497 4.4497 3.3775
angles: 90.00 90.00 90.00
With the nearest neighbours (Å) after each atom.
Positions (direct):
Ag (0.5000, 0.5000, 0.0000)  8 Li 2.79
Hg (0.0000, 0.0000, 0.0000)  8 Li 2.79
Li (0.5000, 0.0000, 0.5000)  4 Hg 2.79, 4 Ag 2.79
Li (0.0000, 0.5000, 0.5000)  4 Hg 2.79, 4 Ag 2.79

| no. | VASP energy (Ry/atom) |
| --- | --- |
| 1 | -0.37340 |
| 2 | -0.33664 |
| 3 | -0.14940 |